Computed, not measured: a PBEsol-optimized structure of ScTaMn2 at the SCAN level of DFT.

energy of formation	0.29	eV/atom
symmetry	No. 12
size of the total moment	7.89	Bohr magnetons per cell

Lattice parameters (Å, degrees): 7.9230 2.9609 5.2557 90.00 101.91 90.00
Last column: nearest neighbours and their distance in Å.
Fractional coordinates of all 8 atoms:
Sc 0.0000 0.0000 0.0000  6 Mn 2.68-2.71, 2 Sc 2.96
Sc 0.5000 0.5000 0.0000  6 Mn 2.68-2.71, 2 Sc 2.96
Ta 0.0000 0.5000 0.5000  6 Mn 2.50-2.52
Ta 0.5000 0.0000 0.5000  6 Mn 2.50-2.52
Mn 0.2424 0.0000 0.7129  3 Ta 2.50-2.52, 3 Sc 2.68-2.71, 2 Mn 2.71
Mn 0.2576 0.5000 0.2871  3 Ta 2.50-2.52, 3 Sc 2.68-2.71, 2 Mn 2.71
Mn 0.7424 0.5000 0.7129  3 Ta 2.50-2.52, 3 Sc 2.68-2.71, 2 Mn 2.71
Mn 0.7576 0.0000 0.2871  3 Ta 2.50-2.52, 3 Sc 2.68-2.71, 2 Mn 2.71

=====

Computed, not measured: a PBEsol-optimized structure of Sc2TaMn at the SCAN level of DFT.

energy of formation	0.17	eV/atom
symmetry	No. 225
size of the total moment	2.54	Bohr magnetons per cell

Lattice parameters (Å, degrees): 6.7032 6.7032 6.7032 90.00 90.00 90.00
Last column: nearest neighbours and their distance in Å.
Fractional coordinates of all 16 atoms:
Sc 0.2500 0.2500 0.2500  4 Ta 2.90, 4 Mn 2.90
Sc 0.2500 0.2500 0.7500  4 Ta 2.90, 4 Mn 2.90
Sc 0.2500 0.7500 0.2500  4 Ta 2.90, 4 Mn 2.90
Sc 0.2500 0.7500 0.7500  4 Mn 2.90, 4 Ta 2.90
Sc 0.7500 0.2500 0.2500  4 Ta 2.90, 4 Mn 2.90
Sc 0.7500 0.2500 0.7500  4 Mn 2.90, 4 Ta 2.90
Sc 0.7500 0.7500 0.2500  4 Mn 2.90, 4 Ta 2.90
Sc 0.7500 0.7500 0.7500  4 Ta 2.90, 4 Mn 2.90
Ta 0.0000 0.0000 0.0000  8 Sc 2.90
Ta 0.0000 0.5000 0.5000  8 Sc 2.90
Ta 0.5000 0.0000 0.5000  8 Sc 2.90
Ta 0.5000 0.5000 0.0000  8 Sc 2.90
Mn 0.0000 0.0000 0.5000  8 Sc 2.90
Mn 0.0000 0.5000 0.0000  8 Sc 2.90
Mn 0.5000 0.0000 0.0000  8 Sc 2.90
Mn 0.5000 0.5000 0.5000  8 Sc 2.90

=====

Computed, not measured: a PBEsol-optimized structure of ScTaMn2 at the SCAN level of DFT.

energy of formation	0.09	eV/atom
symmetry	No. 99
size of the total moment	0.68	Bohr magnetons per cell

Lattice parameters (Å, degrees): 2.7805 2.7805 7.6395 90.00 90.00 90.00
Last column: nearest neighbours and their distance in Å.
Fractional coordinates of all 4 atoms:
Sc 0.0000 0.0000 0.0000  4 Mn 2.77, 4 Sc 2.78
Ta 0.5000 0.5000 0.3419  4 Mn 2.72, 4 Ta 2.78
Mn 0.0000 0.0000 0.5886  4 Mn 2.30
Mn 0.5000 0.5000 0.7438  4 Mn 2.30

=====

Computed, not measured: a PBEsol-optimized structure of ScTa2Mn at the SCAN level of DFT.

energy of formation	0.16	eV/atom
symmetry	No. 216
polymorph energy (0 for the lowest one)	106	meV/atom
size of the total moment	14.35	Bohr magnetons per cell

Lattice parameters (Å, degrees): 6.3878 6.3878 6.3878 90.00 90.00 90.00
Last column: nearest neighbours and their distance in Å.
Fractional coordinates of all 16 atoms:
Sc 0.0000 0.0000 0.0000  4 Ta 2.77, 4 Mn 2.77
Sc 0.0000 0.5000 0.5000  4 Ta 2.77, 4 Mn 2.77
Sc 0.5000 0.0000 0.5000  4 Ta 2.77, 4 Mn 2.77
Sc 0.5000 0.5000 0.0000  4 Ta 2.77, 4 Mn 2.77
Ta 0.0000 0.0000 0.5000  4 Ta 2.77, 4 Mn 2.77
Ta 0.0000 0.5000 0.0000  4 Ta 2.77, 4 Mn 2.77
Ta 0.2500 0.2500 0.2500  4 Ta 2.77, 4 Sc 2.77
Ta 0.2500 0.7500 0.7500  4 Ta 2.77, 4 Sc 2.77
Ta 0.5000 0.0000 0.0000  4 Ta 2.77, 4 Mn 2.77
Ta 0.5000 0.5000 0.5000  4 Ta 2.77, 4 Mn 2.77
Ta 0.7500 0.2500 0.7500  4 Ta 2.77, 4 Sc 2.77
Ta 0.7500 0.7500 0.2500  4 Ta 2.77, 4 Sc 2.77
Mn 0.2500 0.2500 0.7500  4 Ta 2.77, 4 Sc 2.77
Mn 0.2500 0.7500 0.2500  4 Ta 2.77, 4 Sc 2.77
Mn 0.7500 0.2500 0.2500  4 Ta 2.77, 4 Sc 2.77
Mn 0.7500 0.7500 0.7500  4 Ta 2.77, 4 Sc 2.77

=====

Computed, not measured: a PBEsol-optimized structure of ScTa2Mn at the SCAN level of DFT.

energy of formation	0.15	eV/atom
symmetry	No. 123
polymorph energy (0 for the lowest one)	98	meV/atom
size of the total moment	3.35	Bohr magnetons per cell

Lattice parameters (Å, degrees): 3.9205 3.9205 4.4926 90.00 90.00 90.00
Last column: nearest neighbours and their distance in Å.
Fractional coordinates of all 4 atoms:
Sc 0.0000 0.0000 0.0000  4 Mn 2.77, 8 Ta 2.98
Ta 0.0000 0.5000 0.5000  4 Ta 2.77, 4 Sc 2.98, 4 Mn 2.98
Ta 0.5000 0.0000 0.5000  4 Ta 2.77, 4 Sc 2.98, 4 Mn 2.98
Mn 0.5000 0.5000 0.0000  4 Sc 2.77, 8 Ta 2.98

=====

Computed, not measured: a PBEsol-optimized structure of ScMn2Tc at the SCAN level of DFT.

energy of formation	0.00	eV/atom
symmetry	No. 44
polymorph energy (0 for the lowest one)	127	meV/atom
size of the total moment	4.22	Bohr magnetons per cell

Lattice parameters (Å, degrees): 2.9505 4.3162 8.5164 90.00 90.00 90.00
Last column: nearest neighbours and their distance in Å.
Fractional coordinates of all 8 atoms:
Sc 0.0000 0.0000 0.0000  8 Mn 2.61-2.90, 4 Tc 2.74-2.91
Sc 0.5000 0.5000 0.5000  8 Mn 2.61-2.90, 4 Tc 2.74-2.91
Mn 0.0000 0.0000 0.5008  2 Mn 2.43, 2 Tc 2.45, 4 Sc 2.61
Mn 0.0000 0.5000 0.2282  2 Mn 2.43, 4 Tc 2.64
Mn 0.5000 0.0000 0.7282  2 Mn 2.43, 4 Tc 2.64
Mn 0.5000 0.5000 0.0008  2 Mn 2.43, 2 Tc 2.45, 4 Sc 2.61
Tc 0.0000 0.5000 0.7708  6 Mn 2.45-2.64, 2 Sc 2.74
Tc 0.5000 0.0000 0.2708  6 Mn 2.45-2.64, 2 Sc 2.74

=====

Computed, not measured: a PBEsol-optimized structure of ScMnTc2 at the SCAN level of DFT.

energy of formation	0.04	eV/atom
symmetry	No. 123
polymorph energy (0 for the lowest one)	67	meV/atom
size of the total moment	3.77	Bohr magnetons per cell

Lattice parameters (Å, degrees): 3.6613 3.6613 4.4042 90.00 90.00 90.00
Last column: nearest neighbours and their distance in Å.
Fractional coordinates of all 4 atoms:
Sc 0.0000 0.0000 0.0000  4 Mn 2.59, 8 Tc 2.86
Mn 0.5000 0.5000 0.0000  4 Sc 2.59, 8 Tc 2.86
Tc 0.0000 0.5000 0.5000  4 Tc 2.59, 4 Mn 2.86, 4 Sc 2.86
Tc 0.5000 0.0000 0.5000  4 Tc 2.59, 4 Mn 2.86, 4 Sc 2.86

=====

Computed, not measured: a PBEsol-optimized structure of ScMn2Tc at the SCAN level of DFT.

energy of formation	-0.13	eV/atom
symmetry	No. 47
polymorph energy (0 for the lowest one)	0	meV/atom
size of the total moment	0.06	Bohr magnetons per cell

Lattice parameters (Å, degrees): 3.0988 4.1874 4.3310 90.00 90.00 90.00
Last column: nearest neighbours and their distance in Å.
Fractional coordinates of all 4 atoms:
Sc 0.0000 0.0000 0.0000  4 Tc 2.60, 4 Mn 2.66
Mn 0.0000 0.5000 0.5000  4 Mn 2.60, 4 Tc 2.66
Mn 0.5000 0.0000 0.5000  4 Mn 2.60, 4 Sc 2.66
Tc 0.5000 0.5000 0.0000  4 Sc 2.60, 4 Mn 2.66

=====

Computed, not measured: a PBEsol-optimized structure of ScMnTc2 at the SCAN level of DFT.

energy of formation	-0.03	eV/atom
symmetry	No. 99
polymorph energy (0 for the lowest one)	0	meV/atom
size of the total moment	0.00	Bohr magnetons per cell

Lattice parameters (Å, degrees): 3.0083 3.0083 6.3155 90.00 90.00 90.00
Last column: nearest neighbours and their distance in Å.
Fractional coordinates of all 4 atoms:
Sc 0.0000 0.0000 0.0000  4 Mn 2.70, 4 Tc 2.77, 4 Sc 3.01
Mn 0.5000 0.5000 0.7376  4 Tc 2.53, 4 Sc 2.70
Tc 0.0000 0.0000 0.5200  4 Mn 2.53, 4 Tc 2.61
Tc 0.5000 0.5000 0.2799  4 Tc 2.61, 4 Sc 2.77, 1 Mn 2.89

=====

Computed, not measured: a PBEsol-optimized structure of ScMnTc2 at the SCAN level of DFT.

energy of formation	-0.01	eV/atom
symmetry	No. 71
polymorph energy (0 for the lowest one)	21	meV/atom
size of the total moment	0.00	Bohr magnetons per cell

Lattice parameters (Å, degrees): 2.9984 4.4082 8.5837 90.00 90.00 90.00
Last column: nearest neighbours and their distance in Å.
Fractional coordinates of all 8 atoms:
Sc 0.0000 0.0000 0.0000  4 Mn 2.67, 8 Tc 2.73-2.98
Sc 0.5000 0.5000 0.5000  4 Mn 2.67, 8 Tc 2.73-2.98
Mn 0.0000 0.0000 0.5000  4 Tc 2.51, 4 Sc 2.67
Mn 0.5000 0.5000 0.0000  4 Tc 2.51, 4 Sc 2.67
Tc 0.0000 0.5000 0.2344  2 Mn 2.51, 4 Tc 2.68, 2 Sc 2.73
Tc 0.0000 0.5000 0.7656  2 Mn 2.51, 4 Tc 2.68, 2 Sc 2.73
Tc 0.5000 0.0000 0.2656  2 Mn 2.51, 4 Tc 2.68, 2 Sc 2.73
Tc 0.5000 0.0000 0.7344  2 Mn 2.51, 4 Tc 2.68, 2 Sc 2.73

=====

Computed, not measured: a PBEsol-optimized structure of ScMn4Tc at the SCAN level of DFT.

energy of formation	0.05	eV/atom
symmetry	No. 216
size of the total moment	0.01	Bohr magnetons per cell

Lattice parameters (Å, degrees): 4.7115 4.7115 4.7115 60.00 60.00 60.00
Last column: nearest neighbours and their distance in Å.
Fractional coordinates of all 6 atoms:
Sc 0.0000 0.0000 0.0000  12 Mn 2.76, 4 Tc 2.89
Mn 0.1211 0.6263 0.6263  6 Mn 2.33-2.38
Mn 0.6263 0.1211 0.6263  6 Mn 2.33-2.38
Mn 0.6263 0.6263 0.1211  6 Mn 2.33-2.38
Mn 0.6263 0.6263 0.6263  6 Mn 2.33-2.38
Tc 0.2500 0.2500 0.2500  12 Mn 2.77, 4 Sc 2.89

=====

Computed, not measured: a PBEsol-optimized structure of ScMnTc2 at the SCAN level of DFT.

energy of formation	0.21	eV/atom
symmetry	No. 160
polymorph energy (0 for the lowest one)	243	meV/atom
size of the total moment	7.32	Bohr magnetons per cell

Lattice parameters (Å, degrees): 2.7915 2.7915 25.8880 90.00 90.00 120.00
Last column: nearest neighbours and their distance in Å.
Fractional coordinates of all 12 atoms:
Sc 0.0000 0.0000 0.0000  3 Mn 2.70, 6 Sc 2.79, 3 Tc 2.90
Sc 0.3333 0.6667 0.6667  3 Mn 2.70, 6 Sc 2.79, 3 Tc 2.90
Sc 0.6667 0.3333 0.3333  3 Mn 2.70, 6 Sc 2.79, 3 Tc 2.90
Mn 0.0000 0.0000 0.7504  3 Tc 2.54, 3 Sc 2.70, 6 Mn 2.79
Mn 0.3333 0.6667 0.4170  3 Tc 2.54, 3 Sc 2.70, 6 Mn 2.79
Mn 0.6667 0.3333 0.0837  3 Tc 2.54, 3 Sc 2.70, 6 Mn 2.79
Tc 0.0000 0.0000 0.2400  9 Tc 2.63-2.79, 3 Sc 2.90
Tc 0.0000 0.0000 0.4929  3 Mn 2.54, 9 Tc 2.63-2.79
Tc 0.3333 0.6667 0.1596  3 Mn 2.54, 9 Tc 2.63-2.79
Tc 0.3333 0.6667 0.9067  9 Tc 2.63-2.79, 3 Sc 2.90
Tc 0.6667 0.3333 0.5734  9 Tc 2.63-2.79, 3 Sc 2.90
Tc 0.6667 0.3333 0.8262  3 Mn 2.54, 9 Tc 2.63-2.79